A) # ThGa4Cu2 | Alexandria via LeMat-Bulk | PBE-GGA | relaxed
data_ThGa4Cu2
_cell_length_a 16.912
_cell_length_b 4.415
_cell_length_c 6.593
_cell_angle_alpha 90.00
_cell_angle_beta 90.00
_cell_angle_gamma 90.00
_space_group_name_H-M_alt 'P n m a'
_space_group_IT_number 62
loop_
_space_group_symop_operation_xyz
'x,y,z'
'-x,-y,-z'
'-x+1/2,-y,z+1/2'
'x+1/2,y,-z+1/2'
'x+1/2,-y+1/2,-z+1/2'
'-x+1/2,y+1/2,z+1/2'
'-x,y+1/2,-z'
'x,-y+1/2,z'
loop_
_atom_site_label
_atom_site_type_symbol
_atom_site_fract_x
_atom_site_fract_y
_atom_site_fract_z
Th1 Th 0.132 0.250 0.004
Ga1 Ga 0.035 0.750 0.796
Ga2 Ga 0.075 0.250 0.499
Ga3 Ga 0.184 0.750 0.315
Ga4 Ga 0.194 0.750 0.709
Cu1 Cu 0.036 0.750 0.242
Cu2 Cu 0.220 0.250 0.518
# Fermi-level density of states: 7.8 states/eV/cell
# calculated volume: 492 Å³ per cell
# size of the total moment: 0.00 μB per atom

***

B) # ThGa4Cu2 | Alexandria via LeMat-Bulk | PBE-GGA | relaxed
data_ThGa4Cu2
_cell_length_a 4.500
_cell_length_b 12.932
_cell_length_c 4.315
_cell_angle_alpha 90.00
_cell_angle_beta 90.00
_cell_angle_gamma 90.00
_space_group_name_H-M_alt 'C m m m'
_space_group_IT_number 65
_space_group_name_Hall '-C 2 2'
loop_
_atom_site_label
_atom_site_type_symbol
_atom_site_fract_x
_atom_site_fract_y
_atom_site_fract_z
Th1 Th 0.000 0.000 0.000
Ga1 Ga 0.000 0.179 0.500
Ga2 Ga 0.000 0.314 0.000
Cu1 Cu 0.000 0.407 0.500
# Fermi-level density of states: 3.9 states/eV/cell
# calculated volume: 251 Å³ per cell
# size of the total moment: 0.00 μB per atom

***

Stability, descending: A), B)

***

A) # Th2GaCu3 | Alexandria via LeMat-Bulk | PBE-GGA | relaxed
data_Th2GaCu3
_cell_length_a 7.017
_cell_length_b 8.917
_cell_length_c 15.453
_cell_angle_alpha 90.00
_cell_angle_beta 90.00
_cell_angle_gamma 90.00
_space_group_name_H-M_alt 'F m m m'
_space_group_IT_number 69
_space_group_name_Hall '-F 2 2'
loop_
_atom_site_label
_atom_site_type_symbol
_atom_site_fract_x
_atom_site_fract_y
_atom_site_fract_z
Th1 Th 0.239 0.000 0.000
Th2 Th 0.250 0.250 0.250
Ga1 Ga 0.000 0.000 0.335
Cu1 Cu 0.000 0.000 0.167
Cu2 Cu 0.000 0.248 0.417
# Fermi-level density of states: 39.5 states/eV/cell
# calculated volume: 967 Å³ per cell
# size of the total moment: 0.00 μB per atom

***

B) # Th2GaCu3 | Alexandria via LeMat-Bulk | PBE-GGA | relaxed
data_Th2GaCu3
_cell_length_a 3.737
_cell_length_b 4.260
_cell_length_c 15.529
_cell_angle_alpha 90.00
_cell_angle_beta 90.00
_cell_angle_gamma 90.00
_space_group_name_H-M_alt 'I m m 2'
_space_group_IT_number 44
loop_
_space_group_symop_operation_xyz
'x,y,z'
'-x,-y,z'
'-x,y,z'
'x,-y,z'
'x+1/2,y+1/2,z+1/2'
'-x+1/2,-y+1/2,z+1/2'
'-x+1/2,y+1/2,z+1/2'
'x+1/2,-y+1/2,z+1/2'
loop_
_atom_site_label
_atom_site_type_symbol
_atom_site_fract_x
_atom_site_fract_y
_atom_site_fract_z
Th1 Th 0.000 0.000 0.000
Th2 Th 0.000 0.500 0.254
Ga1 Ga 0.000 0.000 0.589
Cu1 Cu 0.000 0.000 0.425
Cu2 Cu 0.000 0.500 0.668
Cu3 Cu 0.000 0.500 0.828
# Fermi-level density of states: 8.9 states/eV/cell
# calculated volume: 247 Å³ per cell
# size of the total moment: 0.00 μB per atom

***

Stability, descending: A), B)

***

A) # ThGa2Cu6 | Alexandria via LeMat-Bulk | PBE-GGA | relaxed
data_ThGa2Cu6
_cell_length_a 4.199
_cell_length_b 4.199
_cell_length_c 7.852
_cell_angle_alpha 90.00
_cell_angle_beta 90.00
_cell_angle_gamma 90.00
_space_group_name_H-M_alt 'P 4/m m m'
_space_group_IT_number 123
_space_group_name_Hall '-P 4 2'
loop_
_atom_site_label
_atom_site_type_symbol
_atom_site_fract_x
_atom_site_fract_y
_atom_site_fract_z
Th1 Th 0.000 0.000 0.000
Ga1 Ga 0.500 0.500 0.159
Cu1 Cu 0.000 0.000 0.500
Cu2 Cu 0.000 0.500 0.322
Cu3 Cu 0.500 0.500 0.500
# Fermi-level density of states: 4.6 states/eV/cell
# calculated volume: 138 Å³ per cell
# size of the total moment: 0.00 μB per atom

***

B) # ThGa2Cu6 | Alexandria via LeMat-Bulk | PBE-GGA | relaxed
data_ThGa2Cu6
_cell_length_a 3.820
_cell_length_b 6.483
_cell_length_c 11.921
_cell_angle_alpha 90.00
_cell_angle_beta 90.00
_cell_angle_gamma 90.00
_space_group_name_H-M_alt 'I m m m'
_space_group_IT_number 71
_space_group_name_Hall '-I 2 2'
loop_
_atom_site_label
_atom_site_type_symbol
_atom_site_fract_x
_atom_site_fract_y
_atom_site_fract_z
Th1 Th 0.000 0.000 0.000
Ga1 Ga 0.000 0.500 0.131
Cu1 Cu 0.000 0.176 0.500
Cu2 Cu 0.000 0.301 0.311
# Fermi-level density of states: 9.0 states/eV/cell
# calculated volume: 295 Å³ per cell
# size of the total moment: 0.00 μB per atom

***

Stability, descending: A), B)

***

A) # Ti2Ga2Cu | Alexandria via LeMat-Bulk | PBE-GGA | relaxed
data_Ti2Ga2Cu
_cell_length_a 4.041
_cell_length_b 14.184
_cell_length_c 5.356
_cell_angle_alpha 90.00
_cell_angle_beta 90.00
_cell_angle_gamma 90.00
_space_group_name_H-M_alt 'C m c 21'
_space_group_IT_number 36
loop_
_space_group_symop_operation_xyz
'x,y,z'
'-x,-y,z+1/2'
'-x,y,z'
'x,-y,z+1/2'
'x+1/2,y+1/2,z'
'-x+1/2,-y+1/2,z+1/2'
'-x+1/2,y+1/2,z'
'x+1/2,-y+1/2,z+1/2'
loop_
_atom_site_label
_atom_site_type_symbol
_atom_site_fract_x
_atom_site_fract_y
_atom_site_fract_z
Ti1 Ti 0.000 0.003 0.000
Ti2 Ti 0.000 0.202 0.929
Ga1 Ga 0.000 0.180 0.417
Ga2 Ga 0.000 0.405 0.236
Cu1 Cu 0.000 0.398 0.724
# Fermi-level density of states: 11.1 states/eV/cell
# calculated volume: 307 Å³ per cell
# size of the total moment: 0.00 μB per atom

***

B) # Ti2Ga2Cu | Alexandria via LeMat-Bulk | PBE-GGA | relaxed
data_Ti2Ga2Cu
_cell_length_a 7.637
_cell_length_b 7.637
_cell_length_c 2.888
_cell_angle_alpha 90.00
_cell_angle_beta 90.00
_cell_angle_gamma 90.00
_space_group_name_H-M_alt 'P 4/m b m'
_space_group_IT_number 127
_space_group_name_Hall '-P 4 2ab'
loop_
_atom_site_label
_atom_site_type_symbol
_atom_site_fract_x
_atom_site_fract_y
_atom_site_fract_z
Ti1 Ti 0.123 0.377 0.000
Ga1 Ga 0.179 0.679 0.500
Cu1 Cu 0.000 0.000 0.000
# Fermi-level density of states: 9.8 states/eV/cell
# calculated volume: 168 Å³ per cell
# size of the total moment: 0.00 μB per atom

***

C) # Ti2Ga2Cu | Alexandria via LeMat-Bulk | PBE-GGA | relaxed
data_Ti2Ga2Cu
_cell_length_a 6.283
_cell_length_b 6.283
_cell_length_c 3.968
_cell_angle_alpha 90.00
_cell_angle_beta 90.00
_cell_angle_gamma 90.00
_space_group_name_H-M_alt 'P 4/m b m'
_space_group_IT_number 127
_space_group_name_Hall '-P 4 2ab'
loop_
_atom_site_label
_atom_site_type_symbol
_atom_site_fract_x
_atom_site_fract_y
_atom_site_fract_z
Ti1 Ti 0.163 0.337 0.000
Ga1 Ga 0.141 0.641 0.500
Cu1 Cu 0.000 0.000 0.500
# Fermi-level density of states: 5.1 states/eV/cell
# calculated volume: 157 Å³ per cell
# size of the total moment: 0.00 μB per atom

***

Stability, descending: C), A), B)